First-principles (PBE) data for crystalline LiCdPb at its relaxed geometry, as listed in OQMD.

a b c (Å): 6.7641 6.7641 6.7641
angles (deg): 90.00 90.00 90.00
Closest atoms and distances in Å follow each position.
Fractional coordinates of all 12 atoms:
Li1 0.0000 0.0000 0.0000  4 Cd 2.93
Li2 0.0000 0.5000 0.5000  4 Cd 2.93
Li3 0.5000 0.0000 0.5000  4 Cd 2.93
Li4 0.5000 0.5000 0.0000  4 Cd 2.93
Cd1 0.2500 0.2500 0.2500  4 Pb 2.93, 4 Li 2.93
Cd2 0.2500 0.7500 0.7500  4 Pb 2.93, 4 Li 2.93
Cd3 0.7500 0.2500 0.7500  4 Pb 2.93, 4 Li 2.93
Cd4 0.7500 0.7500 0.2500  4 Pb 2.93, 4 Li 2.93
Pb1 0.0000 0.0000 0.5000  4 Cd 2.93
Pb2 0.0000 0.5000 0.0000  4 Cd 2.93
Pb3 0.5000 0.0000 0.0000  4 Cd 2.93
Pb4 0.5000 0.5000 0.5000  4 Cd 2.93

Calculated values
**Excess energy over the best structure of this formula in the dataset**: 0 meV/atom
**Space-group type**: F-43m

---

First-principles (PBE) data for crystalline Li8Cd2Pb at its relaxed geometry, as listed in OQMD.

a b c (Å): 4.5853 4.5853 10.7691
angles (deg): 102.22 102.22 60.04
Closest atoms and distances in Å follow each position.
Fractional coordinates of all 11 atoms:
Li1 0.0895 0.0895 0.2691  1 Pb 2.81, 3 Cd 2.81, 4 Li 2.83-2.86
Li2 0.1811 0.1811 0.5432  5 Li 2.80-2.97, 3 Cd 2.83-2.84
Li3 0.2756 0.2756 0.8273  8 Li 2.76-2.97
Li4 0.3638 0.3638 0.0917  4 Li 2.76-2.78, 1 Cd 2.80, 3 Pb 2.81-2.82
Li5 0.6362 0.6362 0.9083  4 Li 2.76-2.78, 1 Cd 2.80, 3 Pb 2.81-2.82
Li6 0.7244 0.7244 0.1727  8 Li 2.76-2.97
Li7 0.8189 0.8189 0.4568  5 Li 2.80-2.97, 3 Cd 2.83-2.84
Li8 0.9105 0.9105 0.7309  1 Pb 2.81, 3 Cd 2.81, 4 Li 2.83-2.86
Cd1 0.4529 0.4529 0.3595  7 Li 2.80-2.84, 1 Cd 2.93
Cd2 0.5471 0.5471 0.6405  7 Li 2.80-2.84, 1 Cd 2.93
Pb1 0.0000 0.0000 0.0000  8 Li 2.81-2.82

Calculated values
**Space-group type**: C2/m

---

First-principles (PBE) data for crystalline Li4CdPd2Pb at its relaxed geometry, as listed in OQMD.

a b c (Å): 4.5365 4.5365 6.3603
angles (deg): 90.00 90.00 90.00
Closest atoms and distances in Å follow each position.
Fractional coordinates of all 8 atoms:
Li1 0.0000 0.0000 0.0000  4 Li 2.72, 4 Pd 2.76
Li2 0.0000 0.5000 0.2374  2 Cd 2.72, 4 Li 2.72-2.82, 2 Pb 2.82
Li3 0.5000 0.0000 0.7626  2 Cd 2.72, 4 Li 2.72-2.82, 2 Pb 2.82
Li4 0.5000 0.5000 0.5000  4 Pd 2.78, 4 Li 2.82
Cd1 0.5000 0.5000 0.0000  4 Li 2.72, 4 Pd 2.76
Pd1 0.0000 0.5000 0.7517  2 Cd 2.76, 5 Li 2.76-3.09, 2 Pb 2.78
Pd2 0.5000 0.0000 0.2483  2 Cd 2.76, 5 Li 2.76-3.09, 2 Pb 2.78
Pb1 0.0000 0.0000 0.5000  4 Pd 2.78, 4 Li 2.82

Calculated values
**Space-group type**: P-4m2

---

First-principles (PBE) data for crystalline Li4CdPtPb2 at its relaxed geometry, as listed in OQMD.

a b c (Å): 4.6590 4.6590 6.8877
angles (deg): 90.00 90.00 90.00
Closest atoms and distances in Å follow each position.
Fractional coordinates of all 8 atoms:
Li1 0.0000 0.0000 0.0000  4 Li 2.79, 4 Pb 2.82
Li2 0.0000 0.5000 0.2239  4 Li 2.79-3.01, 2 Pt 2.79, 2 Cd 3.01
Li3 0.5000 0.0000 0.7761  4 Li 2.79-3.01, 2 Pt 2.79, 2 Cd 3.01
Li4 0.5000 0.5000 0.5000  4 Pb 2.97, 4 Li 3.01, 4 Cd 3.29
Cd1 0.0000 0.0000 0.5000  4 Pb 2.97, 8 Li 3.01-3.29
Pt1 0.5000 0.5000 0.0000  4 Li 2.79, 4 Pb 2.82
Pb1 0.0000 0.5000 0.7681  5 Li 2.82-3.14, 2 Pt 2.82, 2 Cd 2.97
Pb2 0.5000 0.0000 0.2319  5 Li 2.82-3.14, 2 Pt 2.82, 2 Cd 2.97

Calculated values
**Magnetic moment**: 0.00 μB per formula unit
**Space-group type**: P-4m2

---

First-principles (PBE) data for crystalline Li4Cd2SnPb at its relaxed geometry, as listed in OQMD.

a b c (Å): 4.8031 4.8031 6.8137
angles (deg): 90.00 90.00 90.00
Closest atoms and distances in Å follow each position.
Fractional coordinates of all 8 atoms:
Li1 0.0000 0.0000 0.0000  4 Cd 2.92, 4 Li 2.93
Li2 0.0000 0.5000 0.2473  2 Sn 2.93, 4 Li 2.93-2.95, 2 Pb 2.95
Li3 0.5000 0.0000 0.7527  2 Sn 2.93, 4 Li 2.93-2.95, 2 Pb 2.95
Li4 0.5000 0.5000 0.5000  4 Li 2.95, 4 Cd 2.97
Cd1 0.0000 0.5000 0.7568  2 Sn 2.92, 4 Li 2.92-2.97, 2 Pb 2.97
Cd2 0.5000 0.0000 0.2432  2 Sn 2.92, 4 Li 2.92-2.97, 2 Pb 2.97
Sn1 0.5000 0.5000 0.0000  4 Cd 2.92, 4 Li 2.93
Pb1 0.0000 0.0000 0.5000  4 Li 2.95, 4 Cd 2.97

Calculated values
**Space-group type**: P-4m2

---

First-principles (PBE) data for crystalline Li4ZnCdPb2 at its relaxed geometry, as listed in OQMD.

a b c (Å): 4.7824 4.7824 6.7545
angles (deg): 90.00 90.00 90.00
Closest atoms and distances in Å follow each position.
Fractional coordinates of all 8 atoms:
Li1 0.0000 0.0000 0.0000  4 Pb 2.87, 4 Li 2.89
Li2 0.0000 0.5000 0.2415  4 Li 2.89-2.96, 2 Zn 2.89, 2 Cd 2.96, 1 Pb 3.22
Li3 0.5000 0.0000 0.7585  4 Li 2.89-2.96, 2 Zn 2.89, 2 Cd 2.96, 1 Pb 3.22
Li4 0.5000 0.5000 0.5000  4 Li 2.96, 4 Pb 2.99
Zn1 0.5000 0.5000 0.0000  4 Pb 2.87, 4 Li 2.89
Cd1 0.0000 0.0000 0.5000  4 Li 2.96, 4 Pb 2.99
Pb1 0.0000 0.5000 0.7654  4 Li 2.87-2.99, 2 Zn 2.87, 2 Cd 2.99
Pb2 0.5000 0.0000 0.2346  4 Li 2.87-2.99, 2 Zn 2.87, 2 Cd 2.99

Calculated values
**Space-group type**: P-4m2

---

First-principles (PBE) data for crystalline LiCdPd2 at its relaxed geometry, as listed in OQMD.

a b c (Å): 3.1339 3.1339 6.3143
angles (deg): 90.00 90.00 90.00
Closest atoms and distances in Å follow each position.
Fractional coordinates of all 4 atoms:
Li1 0.0000 0.0000 0.0000  8 Pd 2.63
Cd1 0.0000 0.0000 0.5000  8 Pd 2.81, 4 Cd 3.13
Pd1 0.5000 0.5000 0.2255  4 Li 2.63, 4 Cd 2.81, 1 Pd 2.85
Pd2 0.5000 0.5000 0.7745  4 Li 2.63, 4 Cd 2.81, 1 Pd 2.85

Calculated values
**Space-group type**: P4/mmm

---

First-principles (PBE) data for crystalline LiCdPd2 at its relaxed geometry, as listed in OQMD.

a b c (Å): 4.3562 4.3562 8.2544
angles (deg): 90.00 90.00 120.00
Closest atoms and distances in Å follow each position.
Fractional coordinates of all 8 atoms:
Li1 0.0000 0.0000 0.0000  6 Pd 2.61
Li2 0.0000 0.0000 0.5000  6 Pd 2.61
Cd1 0.3333 0.6667 0.2500  8 Pd 2.77-2.86
Cd2 0.6667 0.3333 0.7500  8 Pd 2.77-2.86
Pd1 0.3333 0.6667 0.5850  3 Li 2.61, 4 Pd 2.72-2.88, 4 Cd 2.77-2.86
Pd2 0.3333 0.6667 0.9150  3 Li 2.61, 4 Pd 2.72-2.88, 4 Cd 2.77-2.86
Pd3 0.6667 0.3333 0.0850  3 Li 2.61, 4 Pd 2.72-2.88, 4 Cd 2.77-2.86
Pd4 0.6667 0.3333 0.4150  3 Li 2.61, 4 Pd 2.72-2.88, 4 Cd 2.77-2.86

Calculated values
**Space-group type**: P6_3/mmc

---

First-principles (PBE) data for crystalline LiCdPd2 at its relaxed geometry, as listed in OQMD.

a b c (Å): 4.4122 4.4122 8.1088
angles (deg): 90.00 90.00 120.00
Closest atoms and distances in Å follow each position.
Fractional coordinates of all 8 atoms:
Li1 0.0000 0.0000 0.2500  3 Cd 2.55
Li2 0.0000 0.0000 0.7500  3 Cd 2.55
Cd1 0.3333 0.6667 0.2500  3 Li 2.55, 2 Pd 2.70
Cd2 0.6667 0.3333 0.7500  3 Li 2.55, 2 Pd 2.70
Pd1 0.3333 0.6667 0.5835  4 Pd 2.70-2.88, 4 Cd 2.70-2.88, 3 Li 2.88
Pd2 0.3333 0.6667 0.9165  4 Pd 2.70-2.88, 4 Cd 2.70-2.88, 3 Li 2.88
Pd3 0.6667 0.3333 0.0835  4 Pd 2.70-2.88, 4 Cd 2.70-2.88, 3 Li 2.88
Pd4 0.6667 0.3333 0.4165  4 Pd 2.70-2.88, 4 Cd 2.70-2.88, 3 Li 2.88

Calculated values
**Space-group type**: P6_3/mmc

---

First-principles (PBE) data for crystalline LiCdPd2 at its relaxed geometry, as listed in OQMD.

a b c (Å): 4.5945 4.5945 7.8017
angles (deg): 90.00 90.00 120.00
Closest atoms and distances in Å follow each position.
Fractional coordinates of all 8 atoms:
Li1 0.3333 0.6667 0.2500  2 Pd 2.55
Li2 0.6667 0.3333 0.7500  2 Pd 2.55
Cd1 0.0000 0.0000 0.0000  6 Pd 2.72
Cd2 0.0000 0.0000 0.5000  6 Pd 2.72
Pd1 0.3333 0.6667 0.5771  1 Li 2.55, 1 Pd 2.70, 3 Cd 2.72
Pd2 0.3333 0.6667 0.9229  1 Li 2.55, 1 Pd 2.70, 3 Cd 2.72
Pd3 0.6667 0.3333 0.0771  1 Li 2.55, 1 Pd 2.70, 3 Cd 2.72
Pd4 0.6667 0.3333 0.4229  1 Li 2.55, 1 Pd 2.70, 3 Cd 2.72

Calculated values
**Space-group type**: P6_3/mmc

---

First-principles (PBE) data for crystalline LiCdPd2 at its relaxed geometry, as listed in OQMD.

a b c (Å): 4.1822 4.1822 3.6324
angles (deg): 90.00 90.00 90.00
Closest atoms and distances in Å follow each position.
Fractional coordinates of all 4 atoms:
Li1 0.0000 0.0000 0.0000  8 Pd 2.77, 4 Cd 2.96
Cd1 0.5000 0.5000 0.0000  8 Pd 2.77, 4 Li 2.96
Pd1 0.0000 0.5000 0.5000  4 Cd 2.77, 4 Li 2.77, 4 Pd 2.96
Pd2 0.5000 0.0000 0.5000  4 Cd 2.77, 4 Li 2.77, 4 Pd 2.96

Calculated values
**Space-group type**: P4/mmm

---

First-principles (PBE) data for crystalline LiCdPd2 at its relaxed geometry, as listed in OQMD.

a b c (Å): 4.1407 4.1407 3.7076
angles (deg): 90.00 90.00 90.00
Closest atoms and distances in Å follow each position.
Fractional coordinates of all 4 atoms:
Li1 0.0000 0.0000 0.0000  8 Pd 2.78, 4 Cd 2.93
Cd1 0.5000 0.5000 0.0000  8 Pd 2.78, 4 Li 2.93
Pd1 0.0000 0.5000 0.5000  4 Cd 2.78, 4 Li 2.78, 4 Pd 2.93
Pd2 0.5000 0.0000 0.5000  4 Cd 2.78, 4 Li 2.78, 4 Pd 2.93

Calculated values
**Space-group type**: P4/mmm

---

| no. | uncorrected energy (eV per atom) |
| --- | --- |
| 1 | -2.259 |
| 2 | -2.125 |
| 3 | -3.237 |
| 4 | -3.113 |
| 5 | -2.423 |
| 6 | -2.381 |
| 7 | -3.725 |
| 8 | -3.674 |
| 9 | -3.560 |
| 10 | -3.600 |
| 11 | -3.738 |
| 12 | -3.739 |